Entry 1:
Material: Si2AsSeF
Method: DFT, PBE
State: optimized geometry

N(E_F): 0.5800 states/eV per atom
space-group type: P4/mmm, No. 123
raw formation energy: 0.36 eV/atom

abc: 4.1711 5.5439 4.1711
angles: 90.00 90.00 90.00
Last column: nearest neighbours and their distance in Å.
Fractional positions:
Si: 0.0000 0.0000 0.5000  2 F 2.09
Si: 0.5000 0.0000 0.0000  2 F 2.09
As: 0.5000 0.5000 0.5000  4 Se 2.95
F: 0.0000 0.0000 0.0000  4 Si 2.09
Se: 0.0000 0.5000 0.0000  2 F 2.77, 4 As 2.95

Entry 2:
Material: MnFeTc2N
Method: DFT, PBE
State: optimized geometry

N(E_F): 1.5442 states/eV per atom
space-group type: P4/mmm, No. 123
raw formation energy: 0.16 eV/atom

abc: 3.9910 3.6858 3.9910
angles: 90.00 90.00 90.00
Last column: nearest neighbours and their distance in Å.
Fractional positions:
Tc: 0.0000 0.0000 0.5000  2 N 2.00
Tc: 0.5000 0.0000 0.0000  2 N 2.00
Fe: 0.0000 0.5000 0.0000  2 N 1.84
N: 0.0000 0.0000 0.0000  2 Fe 1.84, 4 Tc 2.00
Mn: 0.5000 0.5000 0.5000  8 Tc 2.72, 4 Fe 2.82

Entry 3:
Material: TiPN3
Method: DFT, PBE
State: optimized geometry

N(E_F): 0.0000 states/eV per atom
space-group type: Pm, No. 6
raw formation energy: -0.80 eV/atom

abc: 2.8346 5.3445 5.0638
angles: 122.08 90.00 90.00
Last column: nearest neighbours and their distance in Å.
Fractional positions:
N: 0.8167 0.3516 0.2696  2 P 1.71
N: 0.3167 0.8225 0.6919  1 P 1.61
N: 0.3167 0.3170 0.6991  1 P 1.61
P: 0.3167 0.4659 0.4928  4 N 1.61-1.71
Ti: 0.8167 0.1211 0.7998  5 N 1.98-2.02

Entry 4:
Material: BaTaHg2
Method: DFT, PBE
State: optimized geometry

N(E_F): 0.9261 states/eV per atom
energy relative to the elements: 0.4708 eV per atom
space-group type: Cmm2, No. 35

abc: 3.3361 3.3361 9.4200
angles: 90.00 90.00 89.91
Last column: nearest neighbours and their distance in Å.
Fractional positions:
Ta: 0.0000 0.0000 0.4537  4 Hg 2.94-2.95
Hg: 0.5000 0.5000 0.2665  4 Ta 2.94-2.95, 4 Hg 3.23
Hg: 0.0000 0.0000 0.0324  8 Hg 3.23-3.34, 4 Ba 3.57
Ba: 0.5000 0.5000 0.7475  4 Ba 3.34, 4 Hg 3.57, 4 Ta 3.64

Entry 5:
Material: TcAgSn3
Method: DFT, PBE
State: optimized geometry

energy above the most stable polymorph in this dataset: 878 meV per atom
N(E_F): 1.1167 states/eV per atom
energy relative to the elements: 1.1660 eV per atom
space-group type: Pm-3m, No. 221

abc: 5.2693 5.2693 5.2693
angles: 90.00 90.00 90.00
Last column: nearest neighbours and their distance in Å.
Fractional positions:
Tc: 0.5000 0.5000 0.5000  12 Sn 3.73
Sn: 0.0000 0.0000 0.5000  2 Ag 2.63
Sn: 0.0000 0.5000 0.0000  2 Ag 2.63
Sn: 0.5000 0.0000 0.0000  2 Ag 2.63
Ag: 0.0000 0.0000 0.0000  6 Sn 2.63

Entry 6:
Material: ReGePF2
Method: DFT, PBE
State: optimized geometry

N(E_F): 0.4711 states/eV per atom
space-group type: P4/mmm, No. 123
raw formation energy: 0.04 eV/atom

abc: 3.7929 5.8096 3.7929
angles: 90.00 90.00 90.00
Last column: nearest neighbours and their distance in Å.
Fractional positions:
P: 0.0000 0.0000 0.0000  4 F 1.90
Re: 0.5000 0.5000 0.5000  4 Ge 2.68
F: 0.0000 0.0000 0.5000  2 P 1.90
F: 0.5000 0.0000 0.0000  2 P 1.90
Ge: 0.0000 0.5000 0.0000  4 Re 2.68, 2 P 2.90

Entry 7:
Material: ReSnOs2
Method: DFT, PBE
State: optimized geometry

N(E_F): 0.8030 states/eV per atom
energy relative to the elements: 1.2179 eV per atom
space-group type: I-42d, No. 122

abc: 5.8673 5.8673 6.9854
angles: 65.17 65.17 90.00
Last column: nearest neighbours and their distance in Å.
Fractional positions:
Os: 0.8750 0.9060 0.7500  2 Re 2.40, 2 Sn 2.62
Os: 0.6560 0.1250 0.2500  2 Re 2.40, 2 Sn 2.62
Os: 0.0940 0.6250 0.2500  2 Re 2.40, 2 Sn 2.62
Os: 0.3750 0.3440 0.7500  2 Re 2.40, 2 Sn 2.62
Sn: 0.5000 0.5000 0.0000  4 Os 2.62
Sn: 0.2500 0.7500 0.5000  4 Os 2.62
Re: 0.7500 0.2500 0.5000  4 Os 2.40
Re: 0.0000 0.0000 0.0000  4 Os 2.40

Entry 8:
Material: CrHgRhS2
Method: DFT, PBE
State: optimized geometry

N(E_F): 1.3450 states/eV per atom
space-group type: P4/mmm, No. 123
raw formation energy: 0.59 eV/atom

abc: 4.2860 5.2440 4.2860
angles: 90.00 90.00 90.00
Last column: nearest neighbours and their distance in Å.
Fractional positions:
S: 0.5000 0.0000 0.0000  2 Cr 2.14
S: 0.0000 0.0000 0.5000  2 Cr 2.14
Hg: 0.0000 0.5000 0.0000  2 Cr 2.62
Cr: 0.0000 0.0000 0.0000  4 S 2.14
Rh: 0.5000 0.5000 0.5000  4 Hg 3.03, 8 S 3.39

Entry 9:
Material: Sr2GaCuH
Method: DFT, PBE
State: optimized geometry

N(E_F): 0.3845 states/eV per atom
space-group type: P4/mmm, No. 123
E: -15.0 eV/cell

abc: 5.4163 5.4163 3.7978
angles: 90.00 90.00 90.00
Last column: nearest neighbours and their distance in Å.
Fractional positions:
Cu: 0.0000 0.0000 0.5000  2 H 1.90
Sr: 0.0000 0.5000 0.0000  2 H 2.71
Sr: 0.5000 0.0000 0.0000  2 H 2.71
H: 0.0000 0.0000 0.0000  2 Cu 1.90
Ga: 0.5000 0.5000 0.5000  8 Sr 3.31

Entry 10:
Material: Ac2Nd3Y
Method: DFT, PBE
State: optimized geometry

N(E_F): 1.5477 states/eV per atom
energy relative to the elements: 0.1080 eV per atom
space-group type: C2/m, No. 12

abc: 3.7044 9.2984 15.2332
angles: 63.27 83.02 78.51
Last column: nearest neighbours and their distance in Å.
Fractional positions:
Ac: 0.7572 0.6129 0.8727  6 Nd 3.59-4.00, 4 Ac 3.70-3.94, 2 Y 3.75
Ac: 0.5854 0.2708 0.5584  2 Y 3.48-3.72, 5 Nd 3.51-3.83, 3 Ac 3.70-3.76
Ac: 0.2428 0.3871 0.1273  6 Nd 3.59-4.00, 4 Ac 3.70-3.94, 2 Y 3.75
Ac: 0.4146 0.7292 0.4416  2 Y 3.48-3.72, 5 Nd 3.51-3.83, 3 Ac 3.70-3.76
Y: 0.4112 0.4663 0.7112  3 Nd 3.40-3.68, 4 Ac 3.48-3.75, 2 Y 3.70
Y: 0.5888 0.5337 0.2888  3 Nd 3.40-3.68, 4 Ac 3.48-3.75, 2 Y 3.70
Nd: 0.5796 0.7956 0.0451  5 Nd 3.36-3.76, 1 Y 3.40, 1 Ac 3.66
Nd: 0.4204 0.2044 0.9549  5 Nd 3.36-3.76, 1 Y 3.40, 1 Ac 3.66
Nd: 0.2329 0.1449 0.3893  4 Ac 3.51-3.72, 2 Y 3.68, 4 Nd 3.70-3.73
Nd: 0.7671 0.8551 0.6107  4 Ac 3.51-3.72, 2 Y 3.68, 4 Nd 3.70-3.73
Nd: 0.0799 0.0384 0.8019  6 Nd 3.70-3.84, 4 Ac 3.83-4.00, 2 Y 3.98
Nd: 0.9201 0.9616 0.1981  6 Nd 3.70-3.84, 4 Ac 3.83-4.00, 2 Y 3.98

Entry 11:
Material: Ba2MoIrC
Method: DFT, PBE
State: optimized geometry

N(E_F): 0.8385 states/eV per atom
energy relative to the elements: 0.9628 eV per atom
space-group type: P4/mmm, No. 123

abc: 6.2479 3.8903 6.2479
angles: 90.00 90.00 90.00
Last column: nearest neighbours and their distance in Å.
Fractional positions:
Ba: 0.5000 0.0000 0.0000  2 Ir 3.12
Ba: 0.0000 0.0000 0.5000  2 Ir 3.12
Mo: 0.5000 0.5000 0.5000  8 Ba 3.68, 2 Mo 3.89
Ir: 0.0000 0.0000 0.0000  2 C 1.95
C: 0.0000 0.5000 0.0000  2 Ir 1.95

Entry 12:
Material: Tm3TlRh
Method: DFT, PBE
State: optimized geometry

energy above the most stable polymorph in this dataset: 0 meV per atom
N(E_F): 0.6630 states/eV per atom
energy relative to the elements: -0.5079 eV per atom
space-group type: Pmmn, No. 59

abc: 4.7122 6.7599 8.2070
angles: 90.00 90.00 90.00
Last column: nearest neighbours and their distance in Å.
Fractional positions:
Tm: 0.2500 0.9959 0.3432  3 Rh 2.77-2.91
Tm: 0.7500 0.4959 0.6568  3 Rh 2.77-2.91
Tm: 0.7500 0.0041 0.6568  3 Rh 2.77-2.91
Tm: 0.2500 0.2500 0.9381  1 Rh 2.71
Tm: 0.7500 0.7500 0.0619  1 Rh 2.71
Tm: 0.2500 0.5041 0.3432  3 Rh 2.77-2.91
Rh: 0.7500 0.7500 0.3916  7 Tm 2.71-2.91
Rh: 0.2500 0.2500 0.6083  7 Tm 2.71-2.91
Tl: 0.7500 0.2500 0.1805  6 Tm 3.08-3.21
Tl: 0.2500 0.7500 0.8195  6 Tm 3.08-3.21

Entry 13:
Material: Rb3Sn8Au3
Method: DFT, PBE
State: optimized geometry

energy above the most stable polymorph in this dataset: 22 meV per atom
N(E_F): 0.4263 states/eV per atom
energy relative to the elements: -0.1488 eV per atom
space-group type: Immm, No. 71

abc: 5.0167 9.6732 9.6732
angles: 74.75 74.97 74.97
Last column: nearest neighbours and their distance in Å.
Fractional positions:
Sn: 0.1741 0.4622 0.1896  1 Au 2.77
Sn: 0.6156 0.6730 0.0957  3 Au 3.00-3.09, 3 Sn 3.18-3.20
Sn: 0.1741 0.1896 0.4622  1 Au 2.77
Sn: 0.8259 0.5378 0.8104  1 Au 2.77
Sn: 0.6156 0.0957 0.6730  3 Au 3.00-3.09, 3 Sn 3.18-3.20
Sn: 0.8259 0.8104 0.5378  1 Au 2.77
Sn: 0.3844 0.9043 0.3270  3 Au 3.00-3.09, 3 Sn 3.18-3.20
Sn: 0.3844 0.3270 0.9043  3 Au 3.00-3.09, 3 Sn 3.18-3.20
Rb: 0.8305 0.1695 0.1695  2 Au 3.52, 8 Sn 3.61-3.74
Rb: 0.5000 0.5000 0.5000  4 Au 3.71, 12 Sn 3.78-3.91
Rb: 0.1695 0.8305 0.8305  2 Au 3.52, 8 Sn 3.61-3.74
Au: 0.5000 0.0000 0.0000  4 Sn 3.00
Au: 0.0000 0.7327 0.2673  6 Sn 2.77-3.09
Au: 0.0000 0.2673 0.7327  6 Sn 2.77-3.09

Entry 14:
Material: MgCr2Ni
Method: DFT, PBE
State: optimized geometry

N(E_F): 1.0180 states/eV per atom
energy relative to the elements: 0.3600 eV per atom
space-group type: Cm, No. 8

abc: 4.3711 4.3711 4.9334
angles: 87.11 87.11 33.11
Last column: nearest neighbours and their distance in Å.
Fractional positions:
Cr: 0.7544 0.7544 0.7797  3 Cr 2.23-2.49
Cr: 0.9845 0.9845 0.9853  3 Cr 2.23-2.49
Mg: 0.5079 0.5079 0.4848  3 Ni 2.48-2.62, 2 Mg 2.49, 5 Cr 2.59-2.78
Ni: 0.2531 0.2531 0.2502  3 Mg 2.48-2.62, 2 Ni 2.49, 5 Cr 2.60-2.66

Entry 15:
Material: Sm2Th3Au7
Method: DFT, PBE
State: optimized geometry

N(E_F): 0.7812 states/eV per atom
energy relative to the elements: -0.5392 eV per atom
space-group type: Cmmm, No. 65

abc: 5.4910 5.1212 11.2228
angles: 103.19 90.00 90.00
Last column: nearest neighbours and their distance in Å.
Fractional positions:
Au: 0.0000 0.2795 0.5590  2 Au 2.87, 2 Th 2.94, 3 Sm 3.03-3.10
Au: 0.0000 0.7205 0.4410  2 Au 2.87, 2 Th 2.94, 3 Sm 3.03-3.10
Au: 0.0000 0.4291 0.8581  2 Sm 2.98, 4 Au 2.99-3.27, 2 Th 3.15
Au: 0.0000 0.5709 0.1419  2 Sm 2.98, 4 Au 2.99-3.27, 2 Th 3.15
Au: 0.5000 0.0888 0.1775  2 Sm 2.97, 4 Th 3.14-3.21
Au: 0.0000 0.0000 0.0000  4 Au 2.99, 2 Sm 3.08
Au: 0.5000 0.9112 0.8225  2 Sm 2.97, 4 Th 3.14-3.21
Th: 0.5000 0.6721 0.3442  4 Au 2.94-3.14
Th: 0.5000 0.5000 0.0000  8 Au 3.15-3.21
Th: 0.5000 0.3279 0.6558  4 Au 2.94-3.14
Sm: 0.0000 0.8590 0.7181  8 Au 2.97-3.10
Sm: 0.0000 0.1410 0.2819  8 Au 2.97-3.10

Entry 16:
Material: MgTl2Ru
Method: DFT, PBE
State: optimized geometry

energy above the most stable polymorph in this dataset: 83 meV per atom
N(E_F): 0.4981 states/eV per atom
energy relative to the elements: 0.3072 eV per atom
space-group type: I-4m2, No. 119

abc: 5.4622 5.4622 5.4622
angles: 135.21 135.21 65.20
Last column: nearest neighbours and their distance in Å.
Fractional positions:
Tl: 0.2500 0.7500 0.5000  4 Ru 2.94, 4 Tl 3.10, 4 Mg 3.10
Tl: 0.0000 0.0000 0.0000  4 Mg 2.94, 4 Ru 3.10, 4 Tl 3.10
Ru: 0.7500 0.2500 0.5000  8 Tl 2.94-3.10, 4 Mg 3.10
Mg: 0.5000 0.5000 0.0000  8 Tl 2.94-3.10, 4 Ru 3.10

Entry 17:
Material: AcTlBiPd
Method: DFT, PBE
State: optimized geometry

N(E_F): 0.5967 states/eV per atom
energy relative to the elements: -0.4150 eV per atom
space-group type: F-43m, No. 216

abc: 5.4129 5.4129 5.4129
angles: 60.00 60.00 60.00
Last column: nearest neighbours and their distance in Å.
Fractional positions:
Ac: 0.2500 0.2500 0.2500  4 Tl 3.31, 4 Pd 3.31
Pd: 0.5000 0.5000 0.5000  4 Ac 3.31, 4 Bi 3.31
Tl: 0.0000 0.0000 0.0000  4 Ac 3.31, 4 Bi 3.31
Bi: 0.7500 0.7500 0.7500  4 Tl 3.31, 4 Pd 3.31

Entry 18:
Material: ScTe2Ir
Method: DFT, PBE
State: optimized geometry

energy above the most stable polymorph in this dataset: 613 meV per atom
N(E_F): 0.7747 states/eV per atom
space-group type: Cmmm, No. 65
raw formation energy: -0.07 eV/atom

abc: 3.5780 3.5780 7.0773
angles: 90.00 90.00 104.98
Last column: nearest neighbours and their distance in Å.
Fractional positions:
Sc: 0.5000 0.5000 0.7500  4 Te 2.89
Te: 0.0000 0.0000 0.0185  2 Ir 2.73, 2 Sc 2.89
Te: 0.0000 0.0000 0.4815  2 Ir 2.73, 2 Sc 2.89
Ir: 0.5000 0.5000 0.2500  4 Te 2.73

Entry 19:
Material: K4ZnIn
Method: DFT, PBE
State: optimized geometry

N(E_F): 0.8406 states/eV per atom
energy relative to the elements: 0.3553 eV per atom
space-group type: F-43m, No. 216

abc: 7.5044 7.5044 7.5044
angles: 60.00 60.00 60.00
Last column: nearest neighbours and their distance in Å.
Fractional positions:
K: 0.3745 0.3745 0.3745  6 K 3.74-3.77
K: 0.3745 0.3745 0.8764  6 K 3.74-3.77
K: 0.8764 0.3745 0.3745  6 K 3.74-3.77
K: 0.3745 0.8764 0.3745  6 K 3.74-3.77
Zn: 0.7500 0.7500 0.7500  12 K 4.40, 4 In 4.60
In: 0.0000 0.0000 0.0000  12 K 4.40, 4 Zn 4.60

Entry 20:
Material: Co2Bi2Cl
Method: DFT, PBE
State: optimized geometry

energy above the most stable polymorph in this dataset: 0 meV per atom
N(E_F): 1.6073 states/eV per atom
space-group type: I4/mmm, No. 139
raw formation energy: 0.02 eV/atom

abc: 3.5810 3.5810 8.7553
angles: 78.20 78.20 90.00
Last column: nearest neighbours and their distance in Å.
Fractional positions:
Co: 0.7500 0.2500 0.5000  4 Co 2.53, 4 Bi 2.67
Co: 0.2500 0.7500 0.5000  4 Co 2.53, 4 Bi 2.67
Cl: 0.0000 0.0000 0.0000  8 Bi 3.36, 4 Cl 3.58
Bi: 0.3683 0.3683 0.2634  4 Co 2.67
Bi: 0.6317 0.6317 0.7366  4 Co 2.67